# PBE RbSn2Cl2, relaxed
# N(E_F) ... 0.637 states/eV/atom
# Offset from the most stable computed form ... 0.000 kcal/mol of atoms
# DFT total energy ... -3.046 eV per atom
# Formation energy without anion corrections ... -0.512 eV/atom
data_RbSn2Cl2
_chemical_formula_sum 'Rb2 Sn4 Cl4'
_cell_length_a 5.920
_cell_length_b 5.920
_cell_length_c 10.001
_cell_angle_alpha 90.00
_cell_angle_beta 90.00
_cell_angle_gamma 90.00
_space_group_name_H-M_alt 'I 4/m m m'
_space_group_IT_number 139
_space_group_name_Hall '-I 4 2'
loop_
_atom_site_label
_atom_site_fract_x
_atom_site_fract_y
_atom_site_fract_z
Rb1 0.000 0.000 0.000
Sn1 0.000 0.000 0.349
Cl1 0.000 0.500 0.250